Al2Si | PBE-GGA | optimized geometry

Properties
formation energy (no corrections): 0.132 eV per atom
Fermi-level density of states: 0.98 states/eV per cell
VASP energy: -12.51 eV per cell
spin magnetization: 0.00 μB/f.u.
space group: Fmmm

abc: 6.1561 6.1561 6.2036
angles: 153.44 153.44 36.61
Last column: nearest neighbours and their distance in Å.
Fractional positions:
Al: 0.3365 0.3365 0.0000  4 Si 2.72-2.82, 8 Al 2.80-2.90
Al: 0.6635 0.6635 0.0000  4 Si 2.72-2.82, 8 Al 2.80-2.90
Si: 0.0000 0.0000 0.0000  8 Al 2.72-2.82, 4 Si 2.84